#A
The following is a PBE with a Hubbard U calculation of a relaxed K4LiMn4O8 crystal, from Alexandria via LeMat-Bulk.

Output
SG = Pm
Density of states at the Fermi level = 4.00 states/eV per cell
Spin magnetization = 5.0 μB per formula unit

Cell: 6.940 3.003 12.333 Å, 90.00 90.95 90.00°
Fractional coordinates of all 17 atoms:
1 K 0.000 0.000 0.000
2 K 0.159 0.000 0.555
3 K 0.368 0.500 0.280
4 K 0.788 0.500 0.747
5 Li 0.717 0.000 0.165
6 Mn 0.301 0.500 0.820
7 Mn 0.501 0.000 0.996
8 Mn 0.638 0.000 0.496
9 Mn 0.889 0.500 0.339
10 O 0.069 0.000 0.325
11 O 0.123 0.000 0.785
12 O 0.296 0.500 0.985
13 O 0.459 0.500 0.501
14 O 0.495 0.000 0.818
15 O 0.685 0.500 0.072
16 O 0.695 0.000 0.319
17 O 0.826 0.500 0.518

***

#B
The following is a PBE with a Hubbard U calculation of a relaxed K4LiMn4O8 crystal, from Alexandria via LeMat-Bulk.

Output
SG = Pm
Density of states at the Fermi level = 2.23 states/eV per cell
Spin magnetization = 5.3 μB per formula unit

Cell: 6.600 3.018 13.304 Å, 90.00 90.23 90.00°
Fractional coordinates of all 17 atoms:
1 K 0.000 0.000 0.000
2 K 0.143 0.500 0.379
3 K 0.448 0.500 0.854
4 K 0.666 0.000 0.550
5 Li 0.860 0.000 0.196
6 Mn 0.170 0.000 0.611
7 Mn 0.462 0.000 0.118
8 Mn 0.625 0.500 0.301
9 Mn 0.945 0.500 0.777
10 O 0.146 0.000 0.777
11 O 0.304 0.500 0.053
12 O 0.344 0.500 0.571
13 O 0.433 0.000 0.288
14 O 0.722 0.500 0.150
15 O 0.768 0.000 0.813
16 O 0.808 0.000 0.337
17 O 0.968 0.500 0.614

***

Last place for stability: #A

***

#A
The following is a PBE with a Hubbard U calculation of a relaxed K2LiMnO crystal, from Alexandria via LeMat-Bulk.

Output
SG = P4/mmm
Density of states at the Fermi level = 2.71 states/eV per cell
Spin magnetization = 5.2 μB per formula unit

Cell: 6.091 6.091 3.715 Å, 90.00 90.00 90.00°
Fractional coordinates of all 5 atoms:
1 K 0.000 0.500 0.000
2 K 0.500 0.000 0.000
3 Li 0.000 0.000 0.500
4 Mn 0.500 0.500 0.500
5 O 0.000 0.000 0.000

***

#B
The following is a PBE with a Hubbard U calculation of a relaxed K2LiMnO crystal, from Alexandria via LeMat-Bulk.

Output
SG = P4/mmm
Density of states at the Fermi level = 5.87 states/eV per cell
Spin magnetization = 5.7 μB per formula unit

Cell: 6.605 6.605 5.304 Å, 90.00 90.00 90.00°
Fractional coordinates of all 5 atoms:
1 K 0.000 0.500 0.000
2 K 0.500 0.000 0.000
3 Li 0.000 0.000 0.500
4 Mn 0.000 0.000 0.000
5 O 0.500 0.500 0.500

***

Last place for stability: #B